Record 1
A plane-wave DFT calculation with PBE was carried out for Zr7Co2Au2 after structural relaxation.

Output
**Raw total energy**: -81.568 eV per formula unit
**Distance to the lowest polymorph of the same formula**: 226 meV per atom
**Size of the total moment**: 0.000 μB/cell
**V**: 236.0 Å³ per cell

Unit cell a=6.253 b=6.253 c=6.289 alpha=90.00 beta=90.00 gamma=106.31
Atoms (fractional coordinates):
Zr 0.000 0.000 0.000
Zr 0.000 0.500 0.250
Zr 0.000 0.500 0.750
Zr 0.500 0.000 0.250
Zr 0.500 0.000 0.750
Zr 0.500 0.500 0.245
Zr 0.500 0.500 0.755
Co 0.285 0.715 0.000
Co 0.715 0.285 0.000
Au 0.180 0.180 0.500
Au 0.820 0.820 0.500


Record 2
A plane-wave DFT calculation with PBE was carried out for TbTmHg after structural relaxation.

Output
**Raw total energy**: -10.494 eV per formula unit
**Distance to the lowest polymorph of the same formula**: 0 meV per atom
**Size of the total moment**: 0.000 μB/cell
**V**: 329.4 Å³ per cell

Unit cell a=7.119 b=5.049 c=9.163 alpha=90.00 beta=90.00 gamma=90.00
Atoms (fractional coordinates):
Tb 0.016 0.250 0.192
Tb 0.484 0.750 0.692
Tb 0.516 0.250 0.308
Tb 0.984 0.750 0.808
Tm 0.166 0.250 0.574
Tm 0.334 0.750 0.074
Tm 0.666 0.250 0.926
Tm 0.834 0.750 0.426
Hg 0.242 0.250 0.898
Hg 0.258 0.750 0.398
Hg 0.742 0.250 0.602
Hg 0.758 0.750 0.102


Record 3
A plane-wave DFT calculation with PBE was carried out for MnCrCu after structural relaxation.

Output
**Raw total energy**: -21.771 eV per formula unit
**Distance to the lowest polymorph of the same formula**: 229 meV per atom
**Size of the total moment**: 0.000 μB/cell
**V**: 71.4 Å³ per cell

Unit cell a=12.514 b=12.514 c=12.514 alpha=11.81 beta=11.81 gamma=11.81
Atoms (fractional coordinates):
Mn 0.248 0.248 0.248
Mn 0.752 0.752 0.752
Cr 0.195 0.195 0.195
Cr 0.805 0.805 0.805
Cu 0.362 0.362 0.362
Cu 0.638 0.638 0.638


Record 4
A plane-wave DFT calculation with PBE was carried out for Pr3ZnNi3 after structural relaxation.

Output
**Raw total energy**: -33.587 eV per formula unit
**Distance to the lowest polymorph of the same formula**: 236 meV per atom
**Size of the total moment**: 0.000 μB/cell
**V**: 348.2 Å³ per cell

Unit cell a=8.472 b=8.472 c=5.601 alpha=90.00 beta=90.00 gamma=120.00
Atoms (fractional coordinates):
Pr 0.055 0.358 0.250
Pr 0.303 0.945 0.250
Pr 0.358 0.303 0.750
Pr 0.642 0.697 0.250
Pr 0.697 0.055 0.750
Pr 0.945 0.642 0.750
Zn 0.333 0.667 0.750
Zn 0.667 0.333 0.250
Ni 0.056 0.373 0.750
Ni 0.317 0.944 0.750
Ni 0.373 0.317 0.250
Ni 0.627 0.683 0.750
Ni 0.683 0.056 0.250
Ni 0.944 0.627 0.250


Record 5
A plane-wave DFT calculation with PBE was carried out for Tm3TiTl3Te8 after structural relaxation.

Output
**Formation energy without anion corrections**: -0.92 eV/atom
**Raw total energy**: -67.396 eV per formula unit
**Size of the total moment**: 0.080 μB/cell
**V**: 527.6 Å³ per cell

Unit cell a=9.652 b=9.652 c=9.652 alpha=52.74 beta=52.74 gamma=52.74
Atoms (fractional coordinates):
Tm 0.000 0.500 0.500
Tm 0.500 0.000 0.500
Tm 0.500 0.500 0.000
Ti 0.000 0.000 0.000
Tl 0.000 0.000 0.500
Tl 0.000 0.500 0.000
Tl 0.500 0.000 0.000
Te 0.223 0.223 0.755
Te 0.223 0.755 0.223
Te 0.245 0.777 0.777
Te 0.262 0.262 0.262
Te 0.738 0.738 0.738
Te 0.755 0.223 0.223
Te 0.777 0.245 0.777
Te 0.777 0.777 0.245


Record 6
A plane-wave DFT calculation with PBE was carried out for NaTeWN2 after structural relaxation.

Output
**Formation energy without anion corrections**: 2.75 eV/atom
**Raw total energy**: -20.297 eV per formula unit
**Distance to the lowest polymorph of the same formula**: 2602 meV per atom
**Size of the total moment**: 0.000 μB/cell
**V**: 84.6 Å³ per cell

Unit cell a=4.066 b=4.066 c=5.116 alpha=90.00 beta=90.00 gamma=90.00
Atoms (fractional coordinates):
Na 0.000 0.000 0.000
Te 0.000 0.000 0.500
W 0.500 0.500 0.500
N 0.000 0.500 0.000
N 0.500 0.000 0.000


Record 7
A plane-wave DFT calculation with PBE was carried out for Mg2BiCl2 after structural relaxation.

Output
**Formation energy without anion corrections**: -0.81 eV/atom
**Raw total energy**: -14.817 eV per formula unit
**Distance to the lowest polymorph of the same formula**: 0 meV per atom
**Size of the total moment**: 0.000 μB/cell
**V**: 296.6 Å³ per cell

Unit cell a=8.668 b=8.668 c=3.948 alpha=90.00 beta=90.00 gamma=90.00
Atoms (fractional coordinates):
Mg 0.236 0.264 0.000
Mg 0.264 0.764 0.000
Mg 0.736 0.236 0.000
Mg 0.764 0.736 0.000
Bi 0.000 0.000 0.000
Bi 0.500 0.500 0.000
Cl 0.127 0.373 0.500
Cl 0.373 0.873 0.500
Cl 0.627 0.127 0.500
Cl 0.873 0.627 0.500


Record 8
A plane-wave DFT calculation with PBE was carried out for Be2GaAu after structural relaxation.

Output
**Raw total energy**: -12.169 eV per formula unit
**Size of the total moment**: 0.000 μB/cell
**V**: 118.7 Å³ per cell

Unit cell a=5.378 b=5.378 c=5.378 alpha=106.45 beta=106.45 gamma=115.70
Atoms (fractional coordinates):
Be 0.115 0.625 0.990
Be 0.375 0.365 0.490
Be 0.635 0.125 0.010
Be 0.875 0.885 0.510
Ga 0.250 0.750 0.500
Ga 0.500 0.500 0.000
Au 0.000 0.000 0.000
Au 0.750 0.250 0.500